Version P
Cs2K2Ag: optimized geometry, PBE.

abc: 9.7428 9.7428 8.0584
angles: 90.00 90.00 90.00
Closest atoms and distances in Å follow each position.
Fractional positions:
Cs (0.1670, 0.3330, 0.0000)  2 Ag 3.63
Cs (0.3330, 0.8330, 0.0000)  2 Ag 3.63
Cs (0.6670, 0.1670, 0.0000)  2 Ag 3.63
Cs (0.8330, 0.6670, 0.0000)  2 Ag 3.63
K (0.1692, 0.6692, 0.5000)  2 Cs 4.62, 5 K 4.66-5.12
K (0.3308, 0.1692, 0.5000)  2 Cs 4.62, 5 K 4.66-5.12
K (0.6692, 0.8308, 0.5000)  2 Cs 4.62, 5 K 4.66-5.12
K (0.8308, 0.3308, 0.5000)  2 Cs 4.62, 5 K 4.66-5.12
Ag (0.0000, 0.0000, 0.0000)  4 Cs 3.63
Ag (0.5000, 0.5000, 0.0000)  4 Cs 3.63

**Theoretical density**: 2.0 g/cm3
**Crystal system**: tetragonal
**Symmetry**: P4/mbm, No. 127

Version Q
Cs2K2Ag: optimized geometry, PBE.

abc: 9.4483 9.4483 7.6649
angles: 90.00 90.00 90.00
Closest atoms and distances in Å follow each position.
Fractional positions:
Cs (0.1867, 0.3133, 0.0000)  2 K 4.33
Cs (0.3133, 0.8133, 0.0000)  2 K 4.33
Cs (0.6867, 0.1867, 0.0000)  2 K 4.33
Cs (0.8133, 0.6867, 0.0000)  2 K 4.33
K (0.1618, 0.6618, 0.5000)  2 Ag 3.54
K (0.3382, 0.1618, 0.5000)  2 Ag 3.54
K (0.6618, 0.8382, 0.5000)  2 Ag 3.54
K (0.8382, 0.3382, 0.5000)  2 Ag 3.54
Ag (0.0000, 0.0000, 0.5000)  4 K 3.54
Ag (0.5000, 0.5000, 0.5000)  4 K 3.54

**Theoretical density**: 2.2 g/cm3
**Crystal system**: tetragonal
**Symmetry**: P4/mbm, No. 127

Most stable structure - version Q; separation to the second - 0.044 eV/atom.

Version P
Cs4K2Ag: optimized geometry, PBE.

abc: 13.0357 13.0357 13.0357
angles: 147.45 147.45 46.70
Closest atoms and distances in Å follow each position.
Fractional positions:
Cs (0.0000, 0.5000, 0.5000)  2 Ag 3.65
Cs (0.1612, 0.1612, 0.0000)  1 Ag 3.86
Cs (0.5000, 0.0000, 0.5000)  2 Ag 3.65
Cs (0.8388, 0.8388, 0.0000)  1 Ag 3.86
K (0.3558, 0.3558, 0.0000)  9 Cs 4.66-5.18
K (0.6442, 0.6442, 0.0000)  9 Cs 4.66-5.18
Ag (0.0000, 0.0000, 0.0000)  6 Cs 3.65-3.86

**Theoretical density**: 1.9 g/cm3
**Crystal system**: tetragonal
**Symmetry**: I4/mmm, No. 139

Version Q
Cs4K2Ag: optimized geometry, PBE.

abc: 9.4596 9.4596 9.6541
angles: 113.41 113.41 45.90
Closest atoms and distances in Å follow each position.
Fractional positions:
Cs (0.0253, 0.0253, 0.2432)  2 Ag 4.29, 3 Cs 4.39-4.73, 2 K 4.63
Cs (0.3480, 0.3480, 0.2070)  1 Ag 3.95
Cs (0.6520, 0.6520, 0.7930)  1 Ag 3.95
Cs (0.9747, 0.9747, 0.7568)  2 Ag 4.29, 3 Cs 4.39-4.73, 2 K 4.63
K (0.3009, 0.3009, 0.6837)  1 Ag 3.50
K (0.6991, 0.6991, 0.3163)  1 Ag 3.50
Ag (0.5000, 0.5000, 0.0000)  2 K 3.50

**Theoretical density**: 2.1 g/cm3
**Crystal system**: monoclinic
**Symmetry**: C2/m, No. 12

Most stable structure - version Q; separation to the second - 0.025 eV/atom.

Version P
CsKAg3: optimized geometry, PBE.

abc: 5.5612 11.9638 11.0238
angles: 90.00 90.00 90.00
Closest atoms and distances in Å follow each position.
Fractional positions:
Cs (0.0007, 0.2500, 0.0720)  6 Ag 3.81-4.00, 4 K 4.16
Cs (0.4993, 0.7500, 0.5720)  6 Ag 3.81-4.00, 4 K 4.16
Cs (0.5007, 0.2500, 0.4280)  6 Ag 3.81-4.00, 4 K 4.16
Cs (0.9993, 0.7500, 0.9280)  6 Ag 3.81-4.00, 4 K 4.16
K (0.0000, 0.0000, 0.5000)  2 Ag 3.21
K (0.0000, 0.5000, 0.5000)  2 Ag 3.21
K (0.5000, 0.0000, 0.0000)  2 Ag 3.21
K (0.5000, 0.5000, 0.0000)  2 Ag 3.21
Ag (0.0065, 0.5433, 0.2128)  4 Ag 2.86-2.90
Ag (0.0065, 0.9567, 0.2128)  4 Ag 2.86-2.90
Ag (0.2417, 0.2500, 0.7485)  6 Ag 2.78-2.87
Ag (0.2583, 0.7500, 0.2485)  6 Ag 2.78-2.87
Ag (0.4935, 0.0433, 0.7128)  4 Ag 2.86-2.90
Ag (0.4935, 0.4567, 0.7128)  4 Ag 2.86-2.90
Ag (0.5065, 0.5433, 0.2872)  4 Ag 2.86-2.90
Ag (0.5065, 0.9567, 0.2872)  4 Ag 2.86-2.90
Ag (0.7417, 0.2500, 0.7515)  6 Ag 2.78-2.87
Ag (0.7583, 0.7500, 0.2515)  6 Ag 2.78-2.87
Ag (0.9935, 0.0433, 0.7872)  4 Ag 2.86-2.90
Ag (0.9935, 0.4567, 0.7872)  4 Ag 2.86-2.90

**Theoretical density**: 4.5 g/cm3
**Crystal system**: orthorhombic
**Symmetry**: Pnma, No. 62

Version Q
CsKAg3: optimized geometry, PBE.

abc: 6.6257 6.6257 6.6257
angles: 90.00 90.00 90.00
Closest atoms and distances in Å follow each position.
Fractional positions:
Cs (0.0000, 0.0000, 0.0000)  6 Ag 3.31
K (0.5000, 0.5000, 0.5000)  12 Ag 4.69
Ag (0.0000, 0.0000, 0.5000)  2 Cs 3.31
Ag (0.0000, 0.5000, 0.0000)  2 Cs 3.31
Ag (0.5000, 0.0000, 0.0000)  2 Cs 3.31

**Theoretical density**: 2.8 g/cm3
**Crystal system**: cubic
**Symmetry**: Pm-3m, No. 221

Most stable structure - version P; separation to the second - 0.673 eV/atom.

Version P
CsK2AgPb: optimized geometry, PBE.

abc: 6.5958 6.5958 5.5538
angles: 90.00 90.00 90.00
Closest atoms and distances in Å follow each position.
Fractional positions:
Cs (0.0000, 0.0000, 0.0000)  8 K 4.31, 4 Pb 4.66
K (0.0000, 0.5000, 0.5000)  2 Ag 3.30
K (0.5000, 0.0000, 0.5000)  2 Ag 3.30
Ag (0.5000, 0.5000, 0.5000)  2 Pb 2.78
Pb (0.5000, 0.5000, 0.0000)  2 Ag 2.78

**Theoretical density**: 3.6 g/cm3
**Crystal system**: tetragonal
**Symmetry**: P4/mmm, No. 123

Version Q
CsK2AgPb: optimized geometry, PBE.

abc: 6.8863 6.8863 5.5658
angles: 90.00 90.00 90.00
Closest atoms and distances in Å follow each position.
Fractional positions:
Cs (0.0000, 0.0000, 0.0000)  8 K 4.43, 4 Ag 4.87
K (0.0000, 0.5000, 0.5000)  2 Pb 3.44
K (0.5000, 0.0000, 0.5000)  2 Pb 3.44
Ag (0.5000, 0.5000, 0.0000)  2 Pb 2.78
Pb (0.5000, 0.5000, 0.5000)  2 Ag 2.78

**Theoretical density**: 3.3 g/cm3
**Crystal system**: tetragonal
**Symmetry**: P4/mmm, No. 123

Most stable structure - version P; separation to the second - 0.045 eV/atom.

Version P
CsKAg2Pd: optimized geometry, PBE.

abc: 5.4404 5.4404 5.6897
angles: 90.00 90.00 90.00
Closest atoms and distances in Å follow each position.
Fractional positions:
Cs (0.0000, 0.0000, 0.0000)  4 K 3.85, 8 Ag 3.94
K (0.5000, 0.5000, 0.0000)  2 Pd 2.84
Ag (0.0000, 0.5000, 0.5000)  2 Pd 2.72
Ag (0.5000, 0.0000, 0.5000)  2 Pd 2.72
Pd (0.5000, 0.5000, 0.5000)  4 Ag 2.72, 2 K 2.84

**Theoretical density**: 4.9 g/cm3
**Crystal system**: tetragonal
**Symmetry**: P4/mmm, No. 123

Version Q
CsKAg2Pd: optimized geometry, PBE.

abc: 5.8246 5.8246 6.7927
angles: 90.00 90.00 90.00
Closest atoms and distances in Å follow each position.
Fractional positions:
Cs (0.0000, 0.0000, 0.0000)  2 K 3.40
K (0.0000, 0.0000, 0.5000)  4 Ag 2.91
Ag (0.0000, 0.5000, 0.5000)  2 K 2.91
Ag (0.5000, 0.0000, 0.5000)  2 K 2.91
Pd (0.5000, 0.5000, 0.0000)  4 Cs 4.12, 8 Ag 4.47

**Theoretical density**: 3.6 g/cm3
**Crystal system**: tetragonal
**Symmetry**: P4/mmm, No. 123

Most stable structure - version P; separation to the second - 0.857 eV/atom.

Version P
CsK2AgPt: optimized geometry, PBE.

abc: 6.1443 6.1443 6.6066
angles: 90.00 90.00 90.00
Closest atoms and distances in Å follow each position.
Fractional positions:
Cs (0.0000, 0.0000, 0.0000)  2 Pt 3.30
K (0.0000, 0.5000, 0.5000)  2 Pt 3.07
K (0.5000, 0.0000, 0.5000)  2 Pt 3.07
Ag (0.5000, 0.5000, 0.0000)  4 Cs 4.34, 8 K 4.51
Pt (0.0000, 0.0000, 0.5000)  4 K 3.07, 2 Cs 3.30

**Theoretical density**: 3.4 g/cm3
**Crystal system**: tetragonal
**Symmetry**: P4/mmm, No. 123

Version Q
CsK2AgPt: optimized geometry, PBE.

abc: 6.1510 6.1510 5.4264
angles: 90.00 90.00 90.00
Closest atoms and distances in Å follow each position.
Fractional positions:
Cs (0.0000, 0.0000, 0.0000)  8 K 4.10, 4 Ag 4.35
K (0.0000, 0.5000, 0.5000)  2 Pt 3.08
K (0.5000, 0.0000, 0.5000)  2 Pt 3.08
Ag (0.5000, 0.5000, 0.0000)  2 Pt 2.71
Pt (0.5000, 0.5000, 0.5000)  2 Ag 2.71

**Theoretical density**: 4.2 g/cm3
**Crystal system**: tetragonal
**Symmetry**: P4/mmm, No. 123

Most stable structure - version Q; separation to the second - 0.017 eV/atom.

Version P
Cs2KAgSb: optimized geometry, PBE.

abc: 7.1438 7.1438 5.2818
angles: 90.00 90.00 90.00
Closest atoms and distances in Å follow each position.
Fractional positions:
Cs (0.0000, 0.5000, 0.0000)  2 Ag 3.57
Cs (0.5000, 0.0000, 0.0000)  2 Ag 3.57
K (0.0000, 0.0000, 0.5000)  8 Cs 4.44
Ag (0.5000, 0.5000, 0.0000)  2 Sb 2.64
Sb (0.5000, 0.5000, 0.5000)  2 Ag 2.64

**Theoretical density**: 3.3 g/cm3
**Crystal system**: tetragonal
**Symmetry**: P4/mmm, No. 123

Version Q
Cs2KAgSb: optimized geometry, PBE.

abc: 6.7890 6.7890 6.2669
angles: 90.00 90.00 90.00
Closest atoms and distances in Å follow each position.
Fractional positions:
Cs (0.0000, 0.5000, 0.0000)  2 Ag 3.39
Cs (0.5000, 0.0000, 0.0000)  2 Ag 3.39
K (0.0000, 0.0000, 0.5000)  2 Ag 3.13
Ag (0.0000, 0.0000, 0.0000)  2 K 3.13, 4 Cs 3.39
Sb (0.5000, 0.5000, 0.5000)  8 Cs 4.62, 4 K 4.80

**Theoretical density**: 3.1 g/cm3
**Crystal system**: tetragonal
**Symmetry**: P4/mmm, No. 123

Most stable structure - version P; separation to the second - 0.189 eV/atom.

Version P
CsK2AgSb: optimized geometry, PBE.

abc: 6.4801 6.4801 5.4476
angles: 90.00 90.00 90.00
Closest atoms and distances in Å follow each position.
Fractional positions:
Cs (0.0000, 0.0000, 0.0000)  8 K 4.23, 4 Sb 4.58
K (0.0000, 0.5000, 0.5000)  2 Ag 3.24
K (0.5000, 0.0000, 0.5000)  2 Ag 3.24
Ag (0.5000, 0.5000, 0.5000)  2 Sb 2.72
Sb (0.5000, 0.5000, 0.0000)  2 Ag 2.72

**Theoretical density**: 3.2 g/cm3
**Crystal system**: tetragonal
**Symmetry**: P4/mmm, No. 123

Version Q
CsK2AgSb: optimized geometry, PBE.

abc: 6.8479 6.8479 5.4811
angles: 90.00 90.00 90.00
Closest atoms and distances in Å follow each position.
Fractional positions:
Cs (0.0000, 0.0000, 0.0000)  8 K 4.39, 4 Ag 4.84
K (0.0000, 0.5000, 0.5000)  2 Sb 3.42
K (0.5000, 0.0000, 0.5000)  2 Sb 3.42
Ag (0.5000, 0.5000, 0.0000)  2 Sb 2.74
Sb (0.5000, 0.5000, 0.5000)  2 Ag 2.74

**Theoretical density**: 2.8 g/cm3
**Crystal system**: tetragonal
**Symmetry**: P4/mmm, No. 123

Most stable structure - version P; separation to the second - 0.019 eV/atom.